[1]
A relaxed Dy2YZr crystal, computed with GGA-PBE.

Results
DOS(E_F) ... 5.0 states/eV per cell
SG ... No. 123
Energy of formation ... 0.0978 eV per atom
Energy above the lowest structure with this stoichiometry ... 0.0186 eV per atom

Cell: 4.862 4.876 4.876 Å, 90.00 90.00 90.00°
Atoms (fractional coordinates):
Zr  0.500  0.500  0.500
Dy  0.000  0.000  0.500
Y  0.500  0.000  0.000
Dy  0.000  0.500  0.000


[2]
A relaxed NaTl2AsF6 crystal, computed with GGA-PBE.

Results
DOS(E_F) ... 0.0 states/eV per cell
SG ... No. 225
Uncorrected formation energy ... -21.19 eV/f.u.

Cell: 6.223 6.223 6.223 Å, 60.00 60.00 60.00°
Atoms (fractional coordinates):
Tl  0.750  0.750  0.750
F  0.764  0.764  0.236
F  0.764  0.236  0.764
F  0.764  0.236  0.236
As  0.000  0.000  0.000
F  0.236  0.764  0.236
Tl  0.250  0.250  0.250
Na  0.500  0.500  0.500
F  0.236  0.236  0.764
F  0.236  0.764  0.764


[3]
A relaxed K3NaHg3 crystal, computed with GGA-PBE.

Results
DOS(E_F) ... 14.8 states/eV per cell
SG ... No. 223
Energy of formation ... 0.0747 eV per atom
Energy above the lowest structure with this stoichiometry ... 0.2944 eV per atom

Cell: 9.452 9.452 9.452 Å, 90.00 90.00 90.00°
Atoms (fractional coordinates):
Hg  0.500  0.000  0.250
K  0.500  0.250  0.000
Na  0.500  0.500  0.500
K  0.500  0.750  0.000
K  0.000  0.500  0.750
Hg  0.000  0.250  0.500
Na  0.000  0.000  0.000
Hg  0.250  0.500  0.000
K  0.250  0.000  0.500
K  0.000  0.500  0.250
Hg  0.500  0.000  0.750
Hg  0.000  0.750  0.500
Hg  0.750  0.500  0.000
K  0.750  0.000  0.500


[4]
A relaxed Sc2P2O crystal, computed with GGA-PBE.

Results
DOS(E_F) ... 0.0 states/eV per cell
SG ... No. 139
Energy above the lowest structure with this stoichiometry ... 0.0000 eV per atom
Uncorrected formation energy ... -4.72 eV/f.u.

Cell: 4.831 4.831 5.170 Å, 62.15 62.15 90.00°
Atoms (fractional coordinates):
O  0.000  0.000  0.000
Sc  0.750  0.250  0.500
P  0.360  0.360  0.279
Sc  0.250  0.750  0.500
P  0.640  0.640  0.721


[5]
A relaxed Li4Zn3Au4 crystal, computed with GGA-PBE.

Results
DOS(E_F) ... 2.6 states/eV per cell
SG ... No. 2
Energy of formation ... -0.3902 eV per atom

Cell: 2.918 3.808 15.605 Å, 97.02 95.42 90.02°
Atoms (fractional coordinates):
Li  0.273  0.274  0.549
Zn  0.360  0.362  0.726
Au  0.549  0.553  0.098
Zn  0.000  0.000  0.000
Au  0.184  0.183  0.364
Li  0.727  0.726  0.451
Li  0.908  0.906  0.818
Zn  0.640  0.638  0.274
Li  0.092  0.094  0.182
Au  0.451  0.447  0.902
Au  0.816  0.817  0.636


[6]
A relaxed Tb2SmOs crystal, computed with GGA-PBE.

Results
DOS(E_F) ... 13.0 states/eV per cell
SG ... No. 62
Energy of formation ... -0.2096 eV per atom
Energy above the lowest structure with this stoichiometry ... 0.0000 eV per atom

Cell: 6.415 7.440 9.181 Å, 90.00 90.00 90.00°
Atoms (fractional coordinates):
Sm  0.370  0.460  0.750
Sm  0.870  0.040  0.250
Os  0.454  0.885  0.250
Tb  0.833  0.325  0.564
Tb  0.667  0.825  0.936
Tb  0.667  0.825  0.564
Sm  0.130  0.960  0.750
Sm  0.630  0.540  0.250
Tb  0.333  0.175  0.436
Tb  0.167  0.675  0.436
Tb  0.833  0.325  0.936
Os  0.046  0.385  0.250
Tb  0.167  0.675  0.064
Tb  0.333  0.175  0.064
Os  0.546  0.115  0.750
Os  0.954  0.615  0.750


[7]
A relaxed TbTh5As6 crystal, computed with GGA-PBE.

Results
DOS(E_F) ... 6.7 states/eV per cell
SG ... No. 12
Energy of formation ... -1.4194 eV per atom

Cell: 7.338 7.335 7.337 Å, 60.01 80.40 70.50°
Atoms (fractional coordinates):
Th  0.500  0.167  0.665
As  0.247  0.588  0.330
As  0.753  0.412  0.670
Th  0.500  0.500  0.000
Tb  0.000  0.000  0.000
As  0.248  0.246  0.000
As  0.753  0.082  0.330
As  0.247  0.918  0.670
As  0.752  0.754  0.000
Th  0.000  0.666  0.668
Th  0.000  0.334  0.332
Th  0.500  0.833  0.335


[8]
A relaxed ScTaZnIr crystal, computed with GGA-PBE.

Results
DOS(E_F) ... 2.9 states/eV per cell
SG ... No. 216
Energy of formation ... -0.3745 eV per atom

Cell: 4.572 4.572 4.572 Å, 60.00 60.00 60.00°
Atoms (fractional coordinates):
Sc  0.500  0.500  0.500
Ta  0.000  0.000  0.000
Ir  0.250  0.250  0.250
Zn  0.750  0.750  0.750


[9]
A relaxed BePbAu2 crystal, computed with GGA-PBE.

Results
DOS(E_F) ... 1.1 states/eV per cell
SG ... No. 99
Energy of formation ... 0.0819 eV per atom
Energy above the lowest structure with this stoichiometry ... 0.1052 eV per atom

Cell: 3.346 3.342 7.062 Å, 90.00 90.00 90.00°
Atoms (fractional coordinates):
Pb  0.500  0.500  0.756
Au  0.000  0.000  0.045
Be  0.000  0.000  0.385
Au  0.500  0.500  0.315


[10]
A relaxed Ac2TiGe4Pt3 crystal, computed with GGA-PBE.

Results
DOS(E_F) ... 4.6 states/eV per cell
SG ... No. 115
Energy of formation ... -0.9097 eV per atom

Cell: 4.378 4.378 10.888 Å, 90.00 90.00 90.00°
Atoms (fractional coordinates):
Ge  0.000  0.500  0.365
Ac  0.500  0.000  0.242
Ti  0.500  0.500  0.500
Ge  0.500  0.000  0.635
Pt  0.500  0.000  0.876
Ge  0.000  0.000  0.000
Ac  0.000  0.500  0.758
Pt  0.000  0.500  0.124
Ge  0.500  0.500  0.000
Pt  0.000  0.000  0.500


[11]
A relaxed NaSrRe3 crystal, computed with GGA-PBE.

Results
DOS(E_F) ... 6.5 states/eV per cell
SG ... No. 221
Energy of formation ... 2.8436 eV per atom
Energy above the lowest structure with this stoichiometry ... 0.0000 eV per atom

Cell: 4.780 4.780 4.780 Å, 90.00 90.00 90.00°
Atoms (fractional coordinates):
Sr  0.500  0.500  0.500
Re  0.000  0.500  0.000
Re  0.000  0.000  0.500
Re  0.500  0.000  0.000
Na  0.000  0.000  0.000


[12]
A relaxed Li2TlHg crystal, computed with GGA-PBE.

Results
DOS(E_F) ... 1.1 states/eV per cell
SG ... No. 99
Energy of formation ... -0.2364 eV per atom

Cell: 3.631 3.631 6.296 Å, 90.00 90.00 90.00°
Atoms (fractional coordinates):
Hg  0.500  0.500  0.800
Li  0.500  0.500  0.246
Li  0.000  0.000  0.982
Tl  0.000  0.000  0.472